Crystalline LiGeSbI2 at its relaxed geometry, computed with PBE.

```
LiGeSbI2
1.0
5.290 0.000 0.000
0.000 5.290 0.000
0.000 0.000 5.278
Li Ge Sb I
1 1 1 2
direct
0.000 0.000 0.000
0.500 0.500 0.500
0.000 0.000 0.500
0.000 0.500 0.000
0.500 0.000 0.000
```

Results
V	29.54	A^3/atom
formation energy without anion corrections	272	meV/atom
total moment	0.00	Bohr magnetons per cell
DOS at the Fermi energy	3.876	states/eV/f.u.
energy above the most stable polymorph in this dataset	0.208	eV/atom